No. 1
VASP calculation (PBE) on crystalline Tm3Ag2Hg4 at its relaxed geometry.

a b c (Å): 5.2959 9.0667 9.0667
angles (deg): 77.65 82.09 82.09
Closest atoms and distances in Å follow each position.
Sites, in units of the cell vectors:
Tm 0.0876 0.9588 0.7049  8 Hg 3.05-3.30, 2 Ag 3.11-3.23
Tm 0.4124 0.2951 0.0412  8 Hg 3.05-3.30, 2 Ag 3.11-3.23
Tm 0.9124 0.0412 0.2951  8 Hg 3.05-3.30, 2 Ag 3.11-3.23
Tm 0.5876 0.7049 0.9588  8 Hg 3.05-3.30, 2 Ag 3.11-3.23
Tm 0.2500 0.3798 0.6202  4 Hg 3.02-3.24, 6 Ag 3.03-3.17
Tm 0.7500 0.6202 0.3798  4 Hg 3.02-3.24, 6 Ag 3.03-3.17
Ag 0.1962 0.7335 0.4823  1 Ag 3.00, 5 Tm 3.03-3.23, 4 Hg 3.04-3.19
Ag 0.3038 0.5177 0.2665  1 Ag 3.00, 5 Tm 3.03-3.23, 4 Hg 3.04-3.19
Ag 0.8038 0.2665 0.5177  1 Ag 3.00, 5 Tm 3.03-3.23, 4 Hg 3.04-3.19
Ag 0.6962 0.4823 0.7335  1 Ag 3.00, 5 Tm 3.03-3.23, 4 Hg 3.04-3.19
Hg 0.5315 0.0729 0.8128  4 Hg 3.05-3.36, 5 Tm 3.05-3.30, 1 Ag 3.15
Hg 0.9685 0.1872 0.9271  4 Hg 3.05-3.36, 5 Tm 3.05-3.30, 1 Ag 3.15
Hg 0.4685 0.9271 0.1872  4 Hg 3.05-3.36, 5 Tm 3.05-3.30, 1 Ag 3.15
Hg 0.0315 0.8128 0.0729  4 Hg 3.05-3.36, 5 Tm 3.05-3.30, 1 Ag 3.15
Hg 0.6466 0.8378 0.5966  5 Tm 3.02-3.24, 3 Ag 3.04-3.19, 2 Hg 3.14-3.38
Hg 0.8534 0.4034 0.1622  5 Tm 3.02-3.24, 3 Ag 3.04-3.19, 2 Hg 3.14-3.38
Hg 0.3534 0.1622 0.4034  5 Tm 3.02-3.24, 3 Ag 3.04-3.19, 2 Hg 3.14-3.38
Hg 0.1466 0.5966 0.8378  5 Tm 3.02-3.24, 3 Ag 3.04-3.19, 2 Hg 3.14-3.38

Computed properties:
N(E_F)   0.477 states/eV per atom
Total magnetic moment   0.000 μB per formula unit
V   418.59 Å³/cell
E   -2.592 eV/atom
ΔE_f   -290 kJ/mol of formula units
E above lowest polymorph   21 meV/atom


No. 2
VASP calculation (PBE) on crystalline TmAgHg at its relaxed geometry.

a b c (Å): 3.2991 4.8494 4.8494
angles (deg): 120.00 90.00 90.00
Closest atoms and distances in Å follow each position.
Sites, in units of the cell vectors:
Tm 0.6666 0.6667 0.3333  6 Ag 3.25, 6 Hg 3.25, 2 Tm 3.30
Hg 0.1663 0.3333 0.6667  3 Ag 2.80
Ag 0.1671 0.0000 0.0000  3 Hg 2.80

Computed properties:
N(E_F)   0.499 states/eV per atom
Total magnetic moment   0.000 μB per formula unit
V   67.19 Å³/cell
E   -2.869 eV/atom
ΔE_f   -95 kJ/mol of formula units